[1]
# CsVHI2, optimized geometry, DFT PBE
data_CsVHI2
_chemical_formula_sum 'Cs1 V1 H1 I2'
_symmetry_space_group_name_H-M 'P 4/m m m'
_symmetry_Int_Tables_number 123
_symmetry_space_group_name_Hall '-P 4 2'
_cell_length_a 6.923
_cell_length_b 6.923
_cell_length_c 4.357
_cell_angle_alpha 90.00
_cell_angle_beta 90.00
_cell_angle_gamma 90.00
loop_
_atom_site_label
_atom_site_fract_x
_atom_site_fract_y
_atom_site_fract_z
_atom_site_occupancy
Cs1 0.000 0.000 0.000 1
V1 0.500 0.500 0.500 1
H1 0.000 0.000 0.500 1
I1 0.000 0.500 0.000 1
# Total magnetic moment in μB/cell: 3.63
# E in eV/f.u.: -13.000
# Volume in A^3/atom: 41.76

[2]
# Pa2TiMn, optimized geometry, DFT PBE
data_Pa2TiMn
_chemical_formula_sum 'Pa2 Ti1 Mn1'
_symmetry_space_group_name_H-M 'P 4/m m m'
_symmetry_Int_Tables_number 123
_symmetry_space_group_name_Hall '-P 4 2'
_cell_length_a 3.479
_cell_length_b 3.479
_cell_length_c 6.644
_cell_angle_alpha 90.00
_cell_angle_beta 90.00
_cell_angle_gamma 90.00
loop_
_atom_site_label
_atom_site_fract_x
_atom_site_fract_y
_atom_site_fract_z
_atom_site_occupancy
Pa1 0.000 0.000 0.214 1
Ti1 0.500 0.500 0.500 1
Mn1 0.500 0.500 0.000 1
# Total magnetic moment in μB/cell: 1.92
# Formation energy in eV/atom: 0.22
# E in eV/f.u.: -35.190
# Volume in A^3/atom: 20.11
# Distance to the lowest polymorph of the same formula in eV/f.u.: 0.000

[3]
# PmHoGeIr, optimized geometry, DFT PBE
data_PmHoGeIr
_chemical_formula_sum 'Pm2 Ho2 Ge2 Ir2'
_symmetry_space_group_name_H-M 'A m m 2'
_symmetry_Int_Tables_number 38
_symmetry_space_group_name_Hall 'A 2 -2'
_cell_length_a 4.107
_cell_length_b 4.164
_cell_length_c 10.806
_cell_angle_alpha 90.00
_cell_angle_beta 90.00
_cell_angle_gamma 90.00
loop_
_atom_site_label
_atom_site_fract_x
_atom_site_fract_y
_atom_site_fract_z
_atom_site_occupancy
Pm1 0.000 0.000 0.000 1
Ho1 0.500 0.000 0.281 1
Ge1 0.500 0.000 0.575 1
Ir1 0.000 0.000 0.726 1
# Total magnetic moment in μB/cell: 0.00
# Formation energy in eV/atom: -0.82
# E in eV/f.u.: -26.091
# Volume in A^3/atom: 23.10
# Distance to the lowest polymorph of the same formula in eV/f.u.: 0.000